Here is an optimized crystal structure of CsHg2Pb2 from the Alexandria database. Energies are from GGA-PBEsol.

Unit cell a=7.0253 b=7.0253 c=7.0253 alpha=135.95 beta=135.95 gamma=64.06
Element x y z (fractional)
Cs: 0.0000 0.0000 0.0000
Hg: 0.2500 0.7500 0.5000
Hg: 0.7500 0.2500 0.5000
Pb: 0.3715 0.3715 0.0000
Pb: 0.6285 0.6285 0.0000

Values from the calculation:
Formation energy in eV per atom: -0.1227
M_tot in μB per formula unit: 0.00
SG: No. 139

Here is an optimized crystal structure of NaMgPd3 from the Alexandria database. Energies are from GGA-PBEsol.

Unit cell a=4.6757 b=4.6757 c=4.6757 alpha=90.00 beta=90.00 gamma=90.00
Element x y z (fractional)
Na: 0.0000 0.0000 0.0000
Mg: 0.5000 0.5000 0.5000
Pd: 0.0000 0.5000 0.5000
Pd: 0.5000 0.0000 0.5000
Pd: 0.5000 0.5000 0.0000

Values from the calculation:
Formation energy in eV per atom: 0.3785
M_tot in μB per formula unit: 0.00
SG: No. 221

Here is an optimized crystal structure of Li2Cr3CuO8 from the Alexandria database. Energies are from GGA-PBEsol.

Unit cell a=5.7752 b=5.7752 c=5.7752 alpha=59.22 beta=59.22 gamma=59.22
Element x y z (fractional)
Li: 0.0000 0.0000 0.0000
Li: 0.3785 0.3785 0.3785
Cr: 0.0032 0.0032 0.4911
Cr: 0.0032 0.4911 0.0032
Cr: 0.4911 0.0032 0.0032
Cu: 0.6219 0.6219 0.6219
O: 0.2089 0.7498 0.7498
O: 0.2416 0.2416 0.2416
O: 0.2497 0.2497 0.7881
O: 0.2497 0.7881 0.2497
O: 0.7498 0.2089 0.7498
O: 0.7498 0.7498 0.2089
O: 0.7602 0.7602 0.7602
O: 0.7881 0.2497 0.2497

Values from the calculation:
Distance to the lowest polymorph of the same formula in meV/atom: 0
Formation energy (no corrections) in eV/f.u.: -24.62
M_tot in μB per formula unit: 5.00
SG: No. 160

Here is an optimized crystal structure of Na2Li5Sn4 from the Alexandria database. Energies are from GGA-PBEsol.

Unit cell a=24.2252 b=24.2252 c=24.2252 alpha=11.58 beta=11.58 gamma=11.58
Element x y z (fractional)
Na: 0.0462 0.0462 0.0462
Na: 0.2435 0.2435 0.2435
Na: 0.7565 0.7565 0.7565
Na: 0.9538 0.9538 0.9538
Li: 0.2012 0.2012 0.2012
Li: 0.2850 0.2850 0.2850
Li: 0.3229 0.3229 0.3229
Li: 0.4402 0.4402 0.4402
Li: 0.4777 0.4777 0.4777
Li: 0.5223 0.5223 0.5223
Li: 0.5598 0.5598 0.5598
Li: 0.6771 0.6771 0.6771
Li: 0.7150 0.7150 0.7150
Li: 0.7988 0.7988 0.7988
Sn: 0.1194 0.1194 0.1194
Sn: 0.1594 0.1594 0.1594
Sn: 0.3615 0.3615 0.3615
Sn: 0.4000 0.4000 0.4000
Sn: 0.6000 0.6000 0.6000
Sn: 0.6385 0.6385 0.6385
Sn: 0.8406 0.8406 0.8406
Sn: 0.8806 0.8806 0.8806

Values from the calculation:
Formation energy in eV per atom: -0.2595
M_tot in μB per formula unit: 0.00
SG: No. 166

Here is an optimized crystal structure of LiZnMoRu2 from the Alexandria database. Energies are from GGA-PBEsol.

Unit cell a=4.4905 b=4.4905 c=4.5416 alpha=90.00 beta=90.00 gamma=90.00
Element x y z (fractional)
Li: 0.0000 0.0000 0.0000
Zn: 0.5000 0.5000 0.5000
Mo: 0.5000 0.5000 0.0000
Ru: 0.0000 0.5000 0.5000
Ru: 0.5000 0.0000 0.5000

Values from the calculation:
Formation energy in eV per atom: 1.7528
M_tot in μB per formula unit: 0.34
SG: No. 123

Here is an optimized crystal structure of BaZr2Cl from the Alexandria database. Energies are from GGA-PBEsol.

Unit cell a=5.4659 b=5.4659 c=6.6066 alpha=102.27 beta=102.27 gamma=34.61
Element x y z (fractional)
Ba: 0.0000 0.0000 0.0000
Zr: 0.5501 0.5501 0.4945
Zr: 0.8108 0.8108 0.4333
Cl: 0.2311 0.2311 0.7383

Values from the calculation:
Distance to the lowest polymorph of the same formula in meV/atom: 0
Formation energy (no corrections) in eV/f.u.: -0.57
M_tot in μB per formula unit: 0.00
SG: No. 8

Number 1: density of states at the Fermi level 2.452 states/eV/cell. Number 2: density of states at the Fermi level 1.282 states/eV/cell. Number 3: density of states at the Fermi level 7.947 states/eV/cell. Number 4: density of states at the Fermi level 4.969 states/eV/cell. Number 5: density of states at the Fermi level 6.152 states/eV/cell. Number 6: density of states at the Fermi level 4.391 states/eV/cell.